No. 1
# SrLa3Pt

Crystalline SrLa3Pt at its relaxed geometry (PBE, Alexandria).

Cell lengths 7.0818, 7.0818, 27.0257 Å; angles 90.00, 90.00, 120.00 degrees
Space group R-3 (No. 148, hexagonal axes)
Unique sites:
1 Sr 0.0000 0.0000 0.1844 x6
2 La 0.0133 0.4158 0.2790 x18
3 Pt 0.0000 0.0000 0.3048 x6

## Properties
energy relative to the elements	-0.321	eV/atom
DOS(E_F)	47.1	states/eV per cell

---

No. 2
# SrLa3Pt

Crystalline SrLa3Pt at its relaxed geometry (PBE, Alexandria).

Cell lengths 4.401, 4.401, 10.356 Å; angles 90.00, 90.00, 90.00 degrees
Space group P4mm (No. 99)
Unique sites:
1 Sr 0.000 0.000 0.000 x1
2 La 0.000 0.000 0.621 x1
3 La 0.000 0.500 0.326 x2
4 Pt 0.500 0.500 0.542 x1

## Properties
energy relative to the elements	-0.112	eV/atom
DOS(E_F)	8.6	states/eV per cell

---

No. 3
# SrLa3Pt

Crystalline SrLa3Pt at its relaxed geometry (PBE, Alexandria).

Cell lengths 4.199, 12.389, 7.791 Å; angles 90.00, 105.63, 90.00 degrees
Space group P2_1/m (No. 11)
Unique sites:
1 Sr 0.036 0.250 0.071 x2
2 La 0.239 0.750 0.477 x2
3 La 0.357 0.020 0.716 x4
4 Pt 0.391 0.250 0.783 x2

## Properties
energy relative to the elements	-0.348	eV/atom
DOS(E_F)	18.4	states/eV per cell

---

No. 4
# SrLa3Pt

Crystalline SrLa3Pt at its relaxed geometry (PBE, Alexandria).

Cell lengths 6.988, 15.344, 6.529 Å; angles 90.00, 90.00, 90.00 degrees
Space group Cmcm (No. 63)
Unique sites:
1 Sr 0.000 0.076 0.250 x4
2 La 0.000 0.500 0.000 x4
3 La 0.240 0.309 0.250 x8
4 Pt 0.000 0.336 0.750 x4

## Properties
energy relative to the elements	-0.329	eV/atom
DOS(E_F)	31.2	states/eV per cell

---

No. 5
# SrLa2Pt2

Crystalline SrLa2Pt2 at its relaxed geometry (PBE, Alexandria).

Cell lengths 5.021, 5.021, 11.961 Å; angles 90.00, 90.00, 90.00 degrees
Space group I4/mmm (No. 139)
Unique sites:
1 Sr 0.000 0.000 0.000 x2
2 La 0.000 0.500 0.250 x4
3 Pt 0.000 0.000 0.386 x4

## Properties
energy relative to the elements	-0.795	eV/atom
DOS(E_F)	8.5	states/eV per cell

---

No. 6
# SrLa3Pt

Crystalline SrLa3Pt at its relaxed geometry (PBE, Alexandria).

Cell lengths 13.113, 14.677, 7.656 Å; angles 90.00, 98.14, 90.00 degrees
Space group C2/c (No. 15)
Unique sites:
1 Sr 0.117 0.188 0.119 x8
2 La 0.117 0.432 0.967 x8
3 La 0.128 0.078 0.657 x8
4 La 0.144 0.325 0.542 x8
5 Pt 0.000 0.240 0.750 x4
6 Pt 0.000 0.417 0.250 x4

## Properties
energy relative to the elements	-0.359	eV/atom
DOS(E_F)	43.6	states/eV per cell